Below is a relaxed Sc2TiHPt crystal, with properties calculated at the GGA-PBE level.

abc: 5.162 5.162 4.779
angles: 90.00 90.00 90.00
Fractional positions:
Sc 0.000 0.500 0.000
Sc 0.500 0.000 0.000
Ti 0.000 0.000 0.500
H 0.500 0.500 0.500
Pt 0.000 0.000 0.000

Values from the calculation:
ρ (g/cm3): 4.35
Total magnetic moment (μB/cell): 1.2
Energy above the most stable polymorph in this dataset (meV/atom): 994
Uncorrected energy (eV per atom): -5.58